w.
This record from the Alexandria database describes a relaxed structure of Pr2YCu. The functional is GGA-PBE.

The structure in POSCAR format:
```
Pr2YCu
1.0
4.9781 -0.0032 0.0000
-2.4917 5.8857 0.0000
0.0000 0.0000 7.9240
Pr Cu Y
4 2 2
direct
0.3555 0.7118 0.9684 Pr
0.6445 0.2882 0.4684 Pr
0.3555 0.7118 0.5316 Pr
0.6445 0.2882 0.0316 Pr
0.7941 0.5923 0.7500 Cu
0.2059 0.4077 0.2500 Cu
0.9555 0.9113 0.2500 Y
0.0445 0.0887 0.7500 Y
```

- DOS(E_F) (states/eV per cell) = 8.41
- space-group type = P2_1/m (11)
- volume (Å³ per atom) = 29.0

***

x.
This record from the Alexandria database describes a relaxed structure of Pr2YCu. The functional is GGA-PBE.

The structure in POSCAR format:
```
Pr2YCu
1.0
-2.0437 -2.5348 1.8199
0.8661 -3.6198 -0.2464
5.6364 -1.1547 8.5443
Pr Y Cu
2 1 1
direct
0.2641 0.2641 0.2076 Pr
0.0694 0.0694 0.7919 Pr
0.4995 0.4995 0.5016 Y
0.6671 0.6671 0.9988 Cu
```

- DOS(E_F) (states/eV per cell) = 4.95
- space-group type = R3m (160)
- volume (Å³ per atom) = 30.3

***

Which one sits at the bottom of the stability order? x does.

***

w.
This record from the Alexandria database describes a relaxed structure of PrYCu2. The functional is GGA-PBE.

The structure in POSCAR format:
```
PrYCu2
1.0
-4.2859 -0.6573 -2.5488
-1.2298 -4.5645 -1.7174
-3.8077 -2.5328 2.0935
Cu Pr Y
2 1 1
direct
0.7500 0.7500 0.7500 Cu
0.2500 0.2500 0.2500 Cu
0.0000 0.0000 0.0000 Pr
0.5000 0.5000 0.5000 Y
```

- DOS(E_F) (states/eV per cell) = 4.23
- space-group type = Fm-3m (225)
- volume (Å³ per atom) = 22.5

***

x.
This record from the Alexandria database describes a relaxed structure of PrYCu2. The functional is GGA-PBE.

The structure in POSCAR format:
```
PrYCu2
1.0
3.5342 0.0000 0.0000
0.0000 3.5342 0.0000
0.0000 0.0000 7.1536
Pr Cu Y
1 2 1
direct
0.5000 0.5000 0.5000 Pr
0.0000 0.0000 0.2290 Cu
0.0000 0.0000 0.7710 Cu
0.5000 0.5000 0.0000 Y
```

- DOS(E_F) (states/eV per cell) = 2.32
- space-group type = P4/mmm (123)
- volume (Å³ per atom) = 22.3

***

y.
This record from the Alexandria database describes a relaxed structure of PrYCu2. The functional is GGA-PBE.

The structure in POSCAR format:
```
PrYCu2
1.0
-0.2312 -0.3617 -3.8543
4.0789 -1.9400 -0.0626
-2.1236 -4.5473 2.5516
Cu Y Pr
2 1 1
direct
0.0150 0.0000 0.5733 Cu
0.1542 0.5000 0.8435 Cu
0.7225 0.0000 0.9834 Y
0.4393 0.5000 0.4177 Pr
```

- DOS(E_F) (states/eV per cell) = 3.23
- space-group type = Pm (6)
- volume (Å³ per atom) = 23.1

***

Which one sits at the bottom of the stability order? w does.

***

w.
This record from the Alexandria database describes a relaxed structure of PrYCu4. The functional is GGA-PBE.

The structure in POSCAR format:
```
PrYCu4
1.0
5.3366 0.0000 0.0000
2.6683 4.6216 0.0000
2.6683 1.5405 4.3573
Cu Y Pr
4 1 1
direct
0.6240 0.1280 0.6240 Cu
0.6240 0.6240 0.1280 Cu
0.6240 0.6240 0.6240 Cu
0.1280 0.6240 0.6240 Cu
0.2500 0.2500 0.2500 Y
0.0000 0.0000 0.0000 Pr
```

- DOS(E_F) (states/eV per cell) = 3.35
- space-group type = F-43m (216)
- volume (Å³ per atom) = 17.9

***

x.
This record from the Alexandria database describes a relaxed structure of PrYCu4. The functional is GGA-PBE.

The structure in POSCAR format:
```
PrYCu4
1.0
-0.4954 -4.3018 0.1245
4.8151 -2.7190 0.5765
-0.4725 -1.9771 5.1748
Pr Cu Y
1 4 1
direct
0.4577 0.0423 0.0423 Pr
0.1661 0.0378 0.6301 Cu
0.8364 0.4677 0.8595 Cu
0.1661 0.6301 0.0378 Cu
0.8364 0.8595 0.4677 Cu
0.5374 0.4626 0.4626 Y
```

- DOS(E_F) (states/eV per cell) = 3.37
- space-group type = Imm2 (44)
- volume (Å³ per atom) = 18.9

***

Which one sits at the bottom of the stability order? w does.

***

w.
This record from the Alexandria database describes a relaxed structure of Pr2Zn5Cu. The functional is GGA-PBE.

The structure in POSCAR format:
```
Pr2Zn5Cu
1.0
6.6968 -0.6405 -0.9128
-3.8545 5.5136 0.9128
-3.8545 -1.0173 5.4953
Pr Zn Cu
2 5 1
direct
0.5000 0.2132 0.7132 Pr
0.5000 0.7132 0.2132 Pr
0.5100 0.7207 0.7207 Zn
0.4900 0.2106 0.2106 Zn
0.0000 0.2106 0.7207 Zn
0.0000 0.3281 0.3281 Zn
0.0000 0.7207 0.2106 Zn
0.0000 0.1051 0.1051 Cu
```

- DOS(E_F) (states/eV per cell) = 7.33
- space-group type = I4mm (107)
- volume (Å³ per atom) = 21.9

***

x.
This record from the Alexandria database describes a relaxed structure of Pr2Zn5Cu. The functional is GGA-PBE.

The structure in POSCAR format:
```
Pr2Zn5Cu
1.0
-4.2229 -0.3923 -1.1849
0.1832 -2.1306 8.2345
-1.4210 8.5320 2.2392
Zn Pr Cu
10 4 2
direct
0.1857 0.3714 0.8929 Zn
0.6487 0.2974 0.0228 Zn
0.3513 0.7026 0.9772 Zn
0.8143 0.6286 0.3929 Zn
0.6487 0.2974 0.4772 Zn
0.8143 0.6286 0.1071 Zn
0.4050 0.8099 0.2500 Zn
0.3513 0.7026 0.5228 Zn
0.1857 0.3714 0.6071 Zn
0.5950 0.1901 0.7500 Zn
0.2003 0.4006 0.2500 Pr
0.0000 0.0000 0.0000 Pr
0.7997 0.5994 0.7500 Pr
0.0000 0.0000 0.5000 Pr
0.5565 0.1130 0.2500 Cu
0.4435 0.8870 0.7500 Cu
```

- DOS(E_F) (states/eV per cell) = 9.85
- space-group type = Cmcm (63)
- volume (Å³ per atom) = 20.2

***

Which one sits at the bottom of the stability order? w does.

***

w.
This record from the Alexandria database describes a relaxed structure of Pr2ZnCu5. The functional is GGA-PBE.

The structure in POSCAR format:
```
Pr2ZnCu5
1.0
-0.7955 -3.9130 -1.4201
8.0024 0.3202 0.9586
-0.8987 -2.8905 8.4678
Pr Cu Zn
4 10 2
direct
0.7903 0.5806 0.7500 Pr
0.2097 0.4194 0.2500 Pr
0.0000 0.0000 0.0000 Pr
0.0000 0.0000 0.5000 Pr
0.6557 0.3115 0.4810 Cu
0.8224 0.6447 0.1134 Cu
0.8224 0.6447 0.3866 Cu
0.1776 0.3553 0.6134 Cu
0.6557 0.3115 0.0190 Cu
0.5995 0.1990 0.7500 Cu
0.4005 0.8010 0.2500 Cu
0.3443 0.6885 0.9810 Cu
0.1776 0.3553 0.8866 Cu
0.3443 0.6885 0.5190 Cu
0.4396 0.8791 0.7500 Zn
0.5604 0.1209 0.2500 Zn
```

- DOS(E_F) (states/eV per cell) = 7.96
- space-group type = Cmcm (63)
- volume (Å³ per atom) = 18.5

***

x.
This record from the Alexandria database describes a relaxed structure of Pr2ZnCu5. The functional is GGA-PBE.

The structure in POSCAR format:
```
Pr2ZnCu5
1.0
-4.5517 -2.7095 -3.0465
5.2986 -2.9036 0.9135
-0.3993 0.9177 6.0282
Pr Cu Zn
2 5 1
direct
0.5000 0.7344 0.2344 Pr
0.5000 0.2344 0.7344 Pr
0.5855 0.2816 0.2816 Cu
0.4145 0.6960 0.6960 Cu
0.0000 0.2929 0.2929 Cu
0.0000 0.6960 0.2816 Cu
0.0000 0.2816 0.6960 Cu
0.0000 0.0051 0.0051 Zn
```

- DOS(E_F) (states/eV per cell) = 4.80
- space-group type = I4mm (107)
- volume (Å³ per atom) = 20.0

***

Which one sits at the bottom of the stability order? x does.

***

w.
This record from the Alexandria database describes a relaxed structure of Pr3Zn4Cu4. The functional is GGA-PBE.

The structure in POSCAR format:
```
Pr3Zn4Cu4
1.0
3.9200 -0.0046 0.0039
-0.0065 4.2506 0.0001
1.9540 2.1025 13.2461
Pr Zn Cu
3 4 4
direct
0.0000 0.0000 0.0000 Pr
0.8517 0.3497 0.2985 Pr
0.1483 0.6504 0.7015 Pr
0.2519 0.2528 0.4962 Zn
0.7481 0.7472 0.5038 Zn
0.5967 0.0984 0.8051 Zn
0.4034 0.9017 0.1949 Zn
0.6921 0.1921 0.6145 Cu
0.5457 0.5487 0.9046 Cu
0.3079 0.8079 0.3855 Cu
0.4544 0.4513 0.0954 Cu
```

- DOS(E_F) (states/eV per cell) = 6.72
- space-group type = P-1 (2)
- volume (Å³ per atom) = 20.1

***

x.
This record from the Alexandria database describes a relaxed structure of Pr3Zn4Cu4. The functional is GGA-PBE.

The structure in POSCAR format:
```
Pr3Zn4Cu4
1.0
-3.2720 -3.0340 0.1168
4.5050 -4.8084 1.3004
-1.4321 5.0737 6.3787
Cu Pr Zn
4 3 4
direct
0.6638 0.4787 0.3276 Cu
0.6638 0.8489 0.3276 Cu
0.3362 0.1511 0.6724 Cu
0.3362 0.5213 0.6724 Cu
0.1421 0.1421 0.2842 Pr
0.0000 0.5000 0.0000 Pr
0.8579 0.8579 0.7158 Pr
0.2137 0.7137 0.4274 Zn
0.5000 0.8173 0.0000 Zn
0.5000 0.1827 0.0000 Zn
0.7863 0.2863 0.5726 Zn
```

- DOS(E_F) (states/eV per cell) = 7.86
- space-group type = Immm (71)
- volume (Å³ per atom) = 19.7

***

Which one sits at the bottom of the stability order? x does.

***

w.
This record from the Alexandria database describes a relaxed structure of Pr3Zn2Cu4. The functional is GGA-PBE.

The structure in POSCAR format:
```
Pr3Zn2Cu4
1.0
4.2481 0.0000 1.1332
1.7451 5.1649 1.9872
-0.0313 0.2053 8.6463
Cu Zn Pr
4 2 3
direct
0.2780 0.3889 0.0551 Cu
0.9364 0.7298 0.3974 Cu
0.7220 0.6111 0.9449 Cu
0.0636 0.2702 0.6026 Cu
0.3786 0.9552 0.2875 Zn
0.6214 0.0448 0.7125 Zn
0.0000 0.0000 0.0000 Pr
0.3393 0.6473 0.6740 Pr
0.6607 0.3527 0.3260 Pr
```

- DOS(E_F) (states/eV per cell) = 5.56
- space-group type = C2/m (12)
- volume (Å³ per atom) = 21.0

***

x.
This record from the Alexandria database describes a relaxed structure of Pr3Zn2Cu4. The functional is GGA-PBE.

The structure in POSCAR format:
```
Pr3Zn2Cu4
1.0
4.2967 0.0000 0.0000
-2.1483 5.1689 0.0154
0.0000 -1.3399 8.3874
Zn Cu Pr
2 4 3
direct
0.6795 0.3589 0.7761 Zn
0.3205 0.6411 0.2239 Zn
0.0834 0.1668 0.6396 Cu
0.7328 0.4656 0.0788 Cu
0.2672 0.5344 0.9212 Cu
0.9166 0.8332 0.3604 Cu
0.0000 0.0000 0.0000 Pr
0.3750 0.7500 0.6218 Pr
0.6250 0.2500 0.3782 Pr
```

- DOS(E_F) (states/eV per cell) = 6.84
- space-group type = C2/m (12)
- volume (Å³ per atom) = 20.7

***

Which one sits at the bottom of the stability order? x does.

***

w.
This record from the Alexandria database describes a relaxed structure of Pr8Zn2Cu. The functional is GGA-PBE.

The structure in POSCAR format:
```
Pr8Zn2Cu
1.0
4.9363 0.0000 -1.5023
-1.3097 7.5771 -4.3035
-0.0152 -0.1224 8.8108
Pr Cu Zn
8 1 2
direct
0.3414 0.1212 0.6829 Pr
0.0000 0.3311 0.0000 Pr
0.0000 0.6689 0.0000 Pr
0.8701 0.8701 0.7403 Pr
0.1299 0.1299 0.2597 Pr
0.3414 0.5616 0.6828 Pr
0.6586 0.8788 0.3171 Pr
0.6586 0.4384 0.3172 Pr
0.5000 0.0000 0.0000 Cu
0.2007 0.7007 0.4014 Zn
0.7993 0.2993 0.5986 Zn
```

- DOS(E_F) (states/eV per cell) = 13.61
- space-group type = Immm (71)
- volume (Å³ per atom) = 29.7

***

x.
This record from the Alexandria database describes a relaxed structure of Pr8Zn2Cu. The functional is GGA-PBE.

The structure in POSCAR format:
```
Pr8Zn2Cu
1.0
5.2535 0.0000 0.0000
0.0000 6.9417 0.3718
-2.6268 -2.5265 8.8875
Pr Zn Cu
8 2 1
direct
0.0263 0.7743 0.0526 Pr
0.3404 0.0367 0.6808 Pr
0.6596 0.9633 0.3192 Pr
0.9737 0.2257 0.9474 Pr
0.7993 0.6871 0.5986 Pr
0.5904 0.4504 0.1809 Pr
0.2007 0.3129 0.4014 Pr
0.4096 0.5496 0.8191 Pr
0.8092 0.2600 0.6183 Zn
0.1908 0.7400 0.3817 Zn
0.5000 0.0000 0.0000 Cu
```

- DOS(E_F) (states/eV per cell) = 10.41
- space-group type = C2/m (12)
- volume (Å³ per atom) = 29.9

***

Which one sits at the bottom of the stability order? w does.